Record 1
# Tb3Y2Ni2 (GGA-PBE, optimized geometry)
# ΔE_f: -246 meV/atom
data_Tb3Y2Ni2
_chemical_formula_sum 'Tb6 Y4 Ni4'
_symmetry_space_group_name_H-M 'C 1 2/m 1'
_symmetry_Int_Tables_number 12
_cell_length_a 12.125
_cell_length_b 3.650
_cell_length_c 8.956
_cell_angle_alpha 90.00
_cell_angle_beta 116.40
_cell_angle_gamma 90.00
loop_
_symmetry_equiv_pos_as_xyz
'x,y,z'
'-x,-y,-z'
'-x,y,-z'
'x,-y,z'
'x+1/2,y+1/2,z'
'-x+1/2,-y+1/2,-z'
'-x+1/2,y+1/2,-z'
'x+1/2,-y+1/2,z'
loop_
_atom_site_label
_atom_site_fract_x
_atom_site_fract_y
_atom_site_fract_z
Tb1 0.000 0.000 0.000
Tb2 0.116 0.000 0.434
Y1 0.165 0.500 0.810
Ni1 0.171 0.500 0.238

---

Record 2
# Co2AgRuN (GGA-PBE, optimized geometry)
# Formation energy from raw total energies: 241 meV per atom
data_Co2AgRuN
_chemical_formula_sum 'Co2 Ag1 Ru1 N1'
_symmetry_space_group_name_H-M 'P 4/m m m'
_symmetry_Int_Tables_number 123
_symmetry_space_group_name_Hall '-P 4 2'
_cell_length_a 3.904
_cell_length_b 3.904
_cell_length_c 3.968
_cell_angle_alpha 90.00
_cell_angle_beta 90.00
_cell_angle_gamma 90.00
loop_
_atom_site_label
_atom_site_fract_x
_atom_site_fract_y
_atom_site_fract_z
Co1 0.000 0.500 0.000
Ag1 0.000 0.000 0.500
Ru1 0.500 0.500 0.500
N1 0.500 0.500 0.000

---

Record 3
# GaSnB3 (GGA-PBE, optimized geometry)
# ΔE_f: 2110 meV/atom
# Energy above the lowest structure with this stoichiometry: 0.383 eV per atom
data_GaSnB3
_chemical_formula_sum 'Ga1 Sn1 B3'
_symmetry_space_group_name_H-M 'P m -3 m'
_symmetry_Int_Tables_number 221
_symmetry_space_group_name_Hall '-P 4 2 3'
_cell_length_a 4.541
_cell_length_b 4.541
_cell_length_c 4.541
_cell_angle_alpha 90.00
_cell_angle_beta 90.00
_cell_angle_gamma 90.00
loop_
_atom_site_label
_atom_site_fract_x
_atom_site_fract_y
_atom_site_fract_z
Ga1 0.000 0.000 0.000
Sn1 0.500 0.500 0.500
B1 0.000 0.500 0.500

---

Record 4
# CaY2Er3Te6 (GGA-PBE, optimized geometry)
# Formation energy from raw total energies: -1316 meV per atom
data_CaY2Er3Te6
_chemical_formula_sum 'Ca2 Y4 Er6 Te12'
_symmetry_space_group_name_H-M 'C 1 2/m 1'
_symmetry_Int_Tables_number 12
_cell_length_a 19.038
_cell_length_b 4.360
_cell_length_c 8.738
_cell_angle_alpha 90.00
_cell_angle_beta 103.57
_cell_angle_gamma 90.00
loop_
_symmetry_equiv_pos_as_xyz
'x,y,z'
'-x,-y,-z'
'-x,y,-z'
'x,-y,z'
'x+1/2,y+1/2,z'
'-x+1/2,-y+1/2,-z'
'-x+1/2,y+1/2,-z'
'x+1/2,-y+1/2,z'
loop_
_atom_site_label
_atom_site_fract_x
_atom_site_fract_y
_atom_site_fract_z
Ca1 0.000 0.000 0.000
Y1 0.172 0.500 0.344
Er1 0.000 0.000 0.500
Er2 0.167 0.500 0.825
Te1 0.001 0.500 0.254
Te2 0.163 0.000 0.584
Te3 0.168 0.000 0.080

---

Record 5
# AsIrAu2 (GGA-PBE, optimized geometry)
# ΔE_f: 209 meV/atom
data_AsIrAu2
_chemical_formula_sum 'As1 Ir1 Au2'
_symmetry_space_group_name_H-M 'P 1 m 1'
_symmetry_Int_Tables_number 6
_cell_length_a 4.170
_cell_length_b 3.650
_cell_length_c 4.952
_cell_angle_alpha 90.00
_cell_angle_beta 106.01
_cell_angle_gamma 90.00
loop_
_symmetry_equiv_pos_as_xyz
'x,y,z'
'x,-y,z'
loop_
_atom_site_label
_atom_site_fract_x
_atom_site_fract_y
_atom_site_fract_z
As1 0.000 0.000 0.000
Ir1 0.072 0.500 0.324
Au1 0.443 0.500 0.877
Au2 0.630 0.000 0.473

---

Record 6
# PmY3Tm7 (GGA-PBE, optimized geometry)
# ΔE_f: 201 meV/atom
# Energy above the lowest structure with this stoichiometry: 0.033 eV per atom
data_PmY3Tm7
_chemical_formula_sum 'Pm1 Y3 Tm7'
_symmetry_space_group_name_H-M 'P 3 m 1'
_symmetry_Int_Tables_number 156
_cell_length_a 6.9851
_cell_length_b 6.9851
_cell_length_c 8.5821
_cell_angle_alpha 90.00
_cell_angle_beta 90.00
_cell_angle_gamma 120.00
loop_
_symmetry_equiv_pos_as_xyz
'x,y,z'
'-y,x-y,z'
'-x+y,-x,z'
'-y,-x,z'
'-x+y,y,z'
'x,x-y,z'
loop_
_atom_site_label
_atom_site_fract_x
_atom_site_fract_y
_atom_site_fract_z
Pm1 0.0000 0.0000 0.0000
Y1 0.1672 0.3343 0.6610
Tm1 0.0024 0.5012 0.0001
Tm2 0.3313 0.1657 0.3265
Tm3 0.3333 0.6667 0.3260

---

Record 7
# LiFe5Pd6 (GGA-PBE, optimized geometry)
# ΔE_f: -104 meV/atom
data_LiFe5Pd6
_chemical_formula_sum 'Li1 Fe5 Pd6'
_symmetry_space_group_name_H-M 'P 1 2/m 1'
_symmetry_Int_Tables_number 10
_cell_length_a 4.568
_cell_length_b 5.528
_cell_length_c 6.603
_cell_angle_alpha 90.00
_cell_angle_beta 94.16
_cell_angle_gamma 90.00
loop_
_symmetry_equiv_pos_as_xyz
'x,y,z'
'-x,-y,-z'
'-x,y,-z'
'x,-y,z'
loop_
_atom_site_label
_atom_site_fract_x
_atom_site_fract_y
_atom_site_fract_z
Li1 0.000 0.000 0.000
Fe1 0.000 0.500 0.000
Fe2 0.348 0.500 0.657
Fe3 0.356 0.000 0.655
Pd1 0.149 0.250 0.327
Pd2 0.500 0.250 0.000

---

Record 8
# Zn2CrCu (GGA-PBE, optimized geometry)
# ΔE_f: 133 meV/atom
data_Zn2CrCu
_chemical_formula_sum 'Zn6 Cr3 Cu3'
_symmetry_space_group_name_H-M 'R -3 m'
_symmetry_Int_Tables_number 166
_symmetry_space_group_name_Hall '-R 3 2"'
_cell_length_a 2.6259
_cell_length_b 2.6259
_cell_length_c 26.0763
_cell_angle_alpha 90.00
_cell_angle_beta 90.00
_cell_angle_gamma 120.00
loop_
_atom_site_label
_atom_site_fract_x
_atom_site_fract_y
_atom_site_fract_z
Zn1 0.0000 0.0000 0.2490
Cr1 0.0000 0.0000 0.0000
Cu1 0.0000 0.0000 0.5000

---

Record 9
# YPaTeN2 (GGA-PBE, optimized geometry)
# Formation energy from raw total energies: -1702 meV per atom
data_YPaTeN2
_chemical_formula_sum 'Y2 Pa2 Te2 N4'
_symmetry_space_group_name_H-M 'I 4 m m'
_symmetry_Int_Tables_number 107
_symmetry_space_group_name_Hall 'I 4 -2'
_cell_length_a 3.990
_cell_length_b 3.990
_cell_length_c 12.557
_cell_angle_alpha 90.00
_cell_angle_beta 90.00
_cell_angle_gamma 90.00
loop_
_atom_site_label
_atom_site_fract_x
_atom_site_fract_y
_atom_site_fract_z
Y1 0.000 0.000 0.000
Pa1 0.000 0.000 0.331
Te1 0.000 0.000 0.663
N1 0.000 0.500 0.405

---

Record 10
# InTe (GGA-PBE, optimized geometry)
# Formation energy from raw total energies: -173 meV per atom
data_InTe
_chemical_formula_sum 'In1 Te1'
_symmetry_space_group_name_H-M 'P 1 2/m 1'
_symmetry_Int_Tables_number 10
_cell_length_a 3.024
_cell_length_b 4.554
_cell_length_c 4.561
_cell_angle_alpha 90.00
_cell_angle_beta 90.41
_cell_angle_gamma 90.00
loop_
_symmetry_equiv_pos_as_xyz
'x,y,z'
'-x,-y,-z'
'-x,y,-z'
'x,-y,z'
loop_
_atom_site_label
_atom_site_fract_x
_atom_site_fract_y
_atom_site_fract_z
In1 0.000 0.000 0.000
Te1 0.000 0.500 0.500